A relaxed Hf5Zr2 crystal. Source: Alexandria via LeMat-Bulk, functional GGA-PBE.

Calculated values
* ΔE to the lowest computed polymorph: 0.0000 eV/atom

Cell lengths 7.991, 7.991, 7.991 Å; angles 36.14, 36.14, 36.14 degrees
Fractional coordinates of all 7 atoms:
Hf (0.000, 0.000, 0.000)
Hf (0.298, 0.298, 0.298)
Hf (0.431, 0.431, 0.431)
Hf (0.569, 0.569, 0.569)
Hf (0.702, 0.702, 0.702)
Zr (0.156, 0.156, 0.156)
Zr (0.844, 0.844, 0.844)

A relaxed NdPt4Au crystal. Source: Alexandria via LeMat-Bulk, functional GGA-PBE.

Calculated values
* E_tot: -36.41 eV for the cell shown

Cell lengths 5.404, 5.404, 5.404 Å; angles 60.00, 60.00, 60.00 degrees
Fractional coordinates of all 6 atoms:
Nd (0.000, 0.000, 0.000)
Pt (0.127, 0.624, 0.624)
Pt (0.624, 0.127, 0.624)
Pt (0.624, 0.624, 0.127)
Pt (0.624, 0.624, 0.624)
Au (0.250, 0.250, 0.250)

A relaxed KCuRh crystal. Source: Alexandria via LeMat-Bulk, functional GGA-PBE.

Calculated values
* ΔE to the lowest computed polymorph: 0.0281 eV/atom

Cell lengths 6.284, 6.284, 6.284 Å; angles 149.11, 149.11, 44.25 degrees
Fractional coordinates of all 3 atoms:
K (0.000, 0.000, 0.000)
Cu (0.280, 0.280, 0.000)
Rh (0.721, 0.721, 0.000)